<P>
Material: HfAs2IBr
Method: DFT, GGA-PBE
State: optimized geometry

Geometry as extended XYZ:
```
5
Lattice="5.295 0.000 0.000 0.000 5.295 0.000 0.000 0.000 5.160" Properties=species:S:1:pos:R:3 pbc="T T T"
Hf 0.000 0.000 0.000
As 0.000 2.647 0.000
As 2.647 0.000 0.000
I 2.647 2.647 2.580
Br 0.000 0.000 2.580
```

* calculated volume: 28.9 Å³/atom
* DOS(E_F): 3.9 states/eV per cell
* calculated density: 6.14 Mg/m³


<Q>
Material: HfAs2IBr
Method: DFT, GGA-PBE
State: optimized geometry

Geometry as extended XYZ:
```
5
Lattice="5.343 0.000 0.000 0.000 5.343 0.000 0.000 0.000 5.349" Properties=species:S:1:pos:R:3 pbc="T T T"
Hf 0.000 0.000 0.000
As 0.000 2.671 2.674
As 2.671 0.000 2.674
I 2.671 2.671 2.674
Br 2.671 2.671 0.000
```

* calculated volume: 30.5 Å³/atom
* DOS(E_F): 3.1 states/eV per cell
* calculated density: 5.82 Mg/m³


Stability, descending: <P>, <Q>


<P>
Material: HfAsIrBr2
Method: DFT, GGA-PBE
State: optimized geometry

Geometry as extended XYZ:
```
5
Lattice="5.084 0.000 0.000 0.000 5.084 0.000 0.000 0.000 5.386" Properties=species:S:1:pos:R:3 pbc="T T T"
Hf 0.000 0.000 0.000
As 0.000 0.000 2.693
Ir 2.542 2.542 2.693
Br 0.000 2.542 0.000
Br 2.542 0.000 0.000
```

* calculated volume: 27.8 Å³/atom
* DOS(E_F): 6.0 states/eV per cell
* calculated density: 7.22 Mg/m³


<Q>
Material: HfAsIrBr2
Method: DFT, GGA-PBE
State: optimized geometry

Geometry as extended XYZ:
```
5
Lattice="4.968 0.000 0.000 0.000 4.968 0.000 0.000 0.000 4.904" Properties=species:S:1:pos:R:3 pbc="T T T"
Hf 0.000 0.000 0.000
As 2.484 2.484 0.000
Ir 2.484 2.484 2.452
Br 0.000 2.484 2.452
Br 2.484 0.000 2.452
```

* calculated volume: 24.2 Å³/atom
* DOS(E_F): 4.1 states/eV per cell
* calculated density: 8.31 Mg/m³


Stability, descending: <Q>, <P>


<P>
Material: KHfAs2Br
Method: DFT, GGA-PBE
State: optimized geometry

Geometry as extended XYZ:
```
5
Lattice="5.140 0.000 0.000 0.000 5.140 0.000 0.000 0.000 5.732" Properties=species:S:1:pos:R:3 pbc="T T T"
K 0.000 0.000 0.000
Hf 2.570 2.570 2.866
As 0.000 2.570 2.866
As 2.570 0.000 2.866
Br 2.570 2.570 0.000
```

* calculated volume: 30.3 Å³/atom
* DOS(E_F): 1.9 states/eV per cell
* calculated density: 4.91 Mg/m³


<Q>
Material: KHfAs2Br
Method: DFT, GGA-PBE
State: optimized geometry

Geometry as extended XYZ:
```
5
Lattice="5.285 0.000 0.000 0.000 5.285 0.000 0.000 0.000 5.301" Properties=species:S:1:pos:R:3 pbc="T T T"
K 0.000 0.000 0.000
Hf 2.643 2.643 2.651
As 0.000 2.643 0.000
As 2.643 0.000 0.000
Br 0.000 0.000 2.651
```

* calculated volume: 29.6 Å³/atom
* DOS(E_F): 2.6 states/eV per cell
* calculated density: 5.02 Mg/m³


Stability, descending: <P>, <Q>


<P>
Material: HfMoAsBr2
Method: DFT, GGA-PBE
State: optimized geometry

Geometry as extended XYZ:
```
5
Lattice="5.012 0.000 0.000 0.000 5.012 0.000 0.000 0.000 5.045" Properties=species:S:1:pos:R:3 pbc="T T T"
Hf 0.000 0.000 0.000
Mo 2.506 2.506 2.522
As 2.506 2.506 0.000
Br 0.000 2.506 2.522
Br 2.506 0.000 2.522
```

* calculated volume: 25.3 Å³/atom
* DOS(E_F): 7.5 states/eV per cell
* calculated density: 6.67 Mg/m³


<Q>
Material: HfMoAsBr2
Method: DFT, GGA-PBE
State: optimized geometry

Geometry as extended XYZ:
```
5
Lattice="5.172 0.000 0.000 0.000 5.172 0.000 0.000 0.000 5.339" Properties=species:S:1:pos:R:3 pbc="T T T"
Hf 0.000 0.000 0.000
Mo 2.586 2.586 2.669
As 0.000 0.000 2.669
Br 0.000 2.586 0.000
Br 2.586 0.000 0.000
```

* calculated volume: 28.6 Å³/atom
* DOS(E_F): 2.4 states/eV per cell
* calculated density: 5.92 Mg/m³


Stability, descending: <Q>, <P>


<P>
Material: HfMoAs2Br
Method: DFT, GGA-PBE
State: optimized geometry

Geometry as extended XYZ:
```
5
Lattice="5.187 0.000 0.000 0.000 5.187 0.000 0.000 0.000 5.125" Properties=species:S:1:pos:R:3 pbc="T T T"
Hf 0.000 0.000 0.000
Mo 2.594 2.594 2.562
As 0.000 2.594 0.000
As 2.594 0.000 0.000
Br 0.000 0.000 2.562
```

* calculated volume: 27.6 Å³/atom
* DOS(E_F): 3.1 states/eV per cell
* calculated density: 6.07 Mg/m³


<Q>
Material: HfMoAs2Br
Method: DFT, GGA-PBE
State: optimized geometry

Geometry as extended XYZ:
```
5
Lattice="4.839 0.000 0.000 0.000 4.839 0.000 0.000 0.000 5.096" Properties=species:S:1:pos:R:3 pbc="T T T"
Hf 0.000 0.000 0.000
Mo 2.420 2.420 2.548
As 0.000 2.420 2.548
As 2.420 0.000 2.548
Br 2.420 2.420 0.000
```

* calculated volume: 23.9 Å³/atom
* DOS(E_F): 5.5 states/eV per cell
* calculated density: 7.02 Mg/m³


Stability, descending: <P>, <Q>


<P>
Material: NaHfAs2Br
Method: DFT, GGA-PBE
State: optimized geometry

Geometry as extended XYZ:
```
5
Lattice="4.978 0.000 0.000 0.000 4.978 0.000 0.000 0.000 4.929" Properties=species:S:1:pos:R:3 pbc="T T T"
Na 0.000 0.000 0.000
Hf 2.489 2.489 2.465
As 0.000 2.489 0.000
As 2.489 0.000 0.000
Br 0.000 0.000 2.465
```

* calculated volume: 24.4 Å³/atom
* DOS(E_F): 3.2 states/eV per cell
* calculated density: 5.86 Mg/m³


<Q>
Material: NaHfAs2Br
Method: DFT, GGA-PBE
State: optimized geometry

Geometry as extended XYZ:
```
5
Lattice="5.127 0.000 0.000 0.000 5.127 0.000 0.000 0.000 5.631" Properties=species:S:1:pos:R:3 pbc="T T T"
Na 0.000 0.000 0.000
Hf 2.564 2.564 2.816
As 0.000 2.564 2.816
As 2.564 0.000 2.816
Br 2.564 2.564 0.000
```

* calculated volume: 29.6 Å³/atom
* DOS(E_F): 2.3 states/eV per cell
* calculated density: 4.84 Mg/m³


Stability, descending: <Q>, <P>